VASP calculation (PBE) on an optimized crystal structure of LiTmPb.

Output
The calculation puts the formation energy at -0.851 eV per formula unit. As for the total energy: -10.94 eV/f.u.

Cell lengths 4.9435, 4.9435, 4.9435 Å; angles 60.00, 60.00, 60.00 degrees
Closest atoms and distances in Å follow each position.
Element x y z (fractional)
Pb 0.2500 0.2500 0.2500  4 Li 3.03, 4 Tm 3.03
Li 0.0000 0.0000 0.0000  4 Pb 3.03
Tm 0.5000 0.5000 0.5000  4 Pb 3.03



VASP calculation (PBE) on an optimized crystal structure of LiTm2Pb4.

Output
The calculation puts the formation energy at -1.051 eV per formula unit. As for the total energy: -26.74 eV/f.u.

Cell lengths 3.5939, 6.3261, 9.4759 Å; angles 109.07, 100.93, 90.00 degrees
Closest atoms and distances in Å follow each position.
Element x y z (fractional)
Tm 0.7570 0.7564 0.5140  6 Pb 3.28-3.35, 6 Tm 3.59-3.65
Tm 0.2430 0.2436 0.4860  6 Pb 3.28-3.35, 6 Tm 3.59-3.65
Pb 0.6037 0.3103 0.2073  2 Li 2.88
Pb 0.8951 0.2453 0.7902  1 Li 2.87
Pb 0.1049 0.7547 0.2098  1 Li 2.87
Pb 0.3963 0.6897 0.7927  2 Li 2.88
Li 0.0000 0.0000 0.0000  6 Pb 2.87-2.88



VASP calculation (PBE) on an optimized crystal structure of LiTm3Pb5.

Output
The calculation puts the formation energy at -2.703 eV per formula unit. As for the total energy: -36.57 eV/f.u.

Cell lengths 6.4979, 9.2580, 9.2580 Å; angles 120.00, 90.00, 90.00 degrees
Closest atoms and distances in Å follow each position.
Element x y z (fractional)
Tm 0.2500 0.0000 0.6162  9 Pb 3.16-3.42
Tm 0.2500 0.3838 0.3838  9 Pb 3.16-3.42
Tm 0.7500 0.6162 0.6162  9 Pb 3.16-3.42
Tm 0.2500 0.6162 0.0000  9 Pb 3.16-3.42
Tm 0.7500 0.0000 0.3838  9 Pb 3.16-3.42
Tm 0.7500 0.3838 0.0000  9 Pb 3.16-3.42
Pb 0.5000 0.3333 0.6667  2 Pb 3.25, 6 Tm 3.31
Pb 0.2500 0.7309 0.7309  2 Li 2.97, 3 Tm 3.16-3.21
Pb 0.5000 0.6667 0.3333  2 Pb 3.25, 6 Tm 3.31
Pb 0.0000 0.3333 0.6667  2 Pb 3.25, 6 Tm 3.31
Pb 0.7500 0.7309 0.0000  2 Li 2.97, 3 Tm 3.16-3.21
Pb 0.7500 0.0000 0.7309  2 Li 2.97, 3 Tm 3.16-3.21
Pb 0.0000 0.6667 0.3333  2 Pb 3.25, 6 Tm 3.31
Pb 0.2500 0.0000 0.2691  2 Li 2.97, 3 Tm 3.16-3.21
Pb 0.2500 0.2691 0.0000  2 Li 2.97, 3 Tm 3.16-3.21
Pb 0.7500 0.2691 0.2691  2 Li 2.97, 3 Tm 3.16-3.21
Li 0.5000 0.0000 0.0000  6 Pb 2.97, 2 Li 3.25
Li 0.0000 0.0000 0.0000  6 Pb 2.97, 2 Li 3.25



Number 1: total magnetization 0.0 μB/cell. Number 2: total magnetization 0.0 μB/cell. Number 3: total magnetization 0.0 μB/cell.